## SrSmEr4S8 (PBE)

Data for a relaxed SrSmEr4S8 crystal.

Properties
- formation energy from raw total energies (kJ/mol of atoms) = -191.2
- volume (Å³/cell) = 381.5
- density (g cm⁻³) = 5.1
- E (eV/atom) = -6.1012

abc: 8.1084 8.1084 8.1742
angles: 60.27 60.27 60.00
Last column: nearest neighbours and their distance in Å.
Positions (direct):
Sm  0.0019  0.0019  0.9944  6 S 2.76-2.88
S  0.7916  0.2407  0.7270  2 Er 2.68, 1 Sm 2.76, 1 Sr 2.77
S  0.2407  0.7916  0.7270  2 Er 2.68, 1 Sm 2.76, 1 Sr 2.77
S  0.7577  0.7577  0.7270  4 Er 2.66-2.81
S  0.2303  0.7526  0.2645  3 Er 2.62-2.80, 1 Sm 2.88
S  0.7526  0.2303  0.2645  3 Er 2.62-2.80, 1 Sm 2.88
S  0.2350  0.2350  0.2951  3 Er 2.69, 1 Sr 2.79
S  0.2407  0.2407  0.7270  2 Er 2.68, 1 Sm 2.76, 1 Sr 2.77
S  0.7526  0.7526  0.2645  3 Er 2.62-2.80, 1 Sm 2.88
Er  0.0018  0.0018  0.5020  6 S 2.68-2.81
Er  0.4945  0.0018  0.5020  6 S 2.68-2.81
Er  0.6253  0.6253  0.1241  4 S 2.62-2.66
Er  0.0018  0.4945  0.5020  6 S 2.68-2.81
Sr  0.3736  0.3736  0.8791  4 S 2.77-2.79